Computed, not measured: ScPNCl2 after structural relaxation at the PBE level of DFT.

Lattice parameters (Å, degrees): 4.251 4.251 4.493 90.00 90.00 90.00
Fractional coordinates of all 5 atoms:
Sc  0.000  0.000  0.000
P  0.500  0.500  0.000
N  0.500  0.500  0.500
Cl  0.000  0.500  0.500
Cl  0.500  0.000  0.500

Results
- Energy above the lowest structure with this stoichiometry: 0.148 eV/atom
- Crystal system: tetragonal
- DOS(E_F): 2.77 states/eV/f.u.
- ΔE_f (raw): 382 meV per atom
- Total magnetic moment: 0.0 μB/f.u.

***

Computed, not measured: ScPNCl2 after structural relaxation at the PBE level of DFT.

Lattice parameters (Å, degrees): 4.918 4.918 5.440 90.00 90.00 90.00
Fractional coordinates of all 5 atoms:
Sc  0.000  0.000  0.000
P  0.000  0.000  0.500
N  0.500  0.500  0.500
Cl  0.000  0.500  0.000
Cl  0.500  0.000  0.000

Results
- Energy above the lowest structure with this stoichiometry: 0.000 eV/atom
- Crystal system: tetragonal
- DOS(E_F): 0.30 states/eV/f.u.
- ΔE_f (raw): 234 meV per atom
- Total magnetic moment: 1.0 μB/f.u.

***

Computed, not measured: PSeNCl2 after structural relaxation at the PBE level of DFT.

Lattice parameters (Å, degrees): 4.240 4.240 4.631 90.00 90.00 90.00
Fractional coordinates of all 5 atoms:
P  0.000  0.000  0.000
Se  0.500  0.500  0.000
N  0.000  0.000  0.500
Cl  0.000  0.500  0.500
Cl  0.500  0.000  0.500

Results
- Energy above the lowest structure with this stoichiometry: 0.000 eV/atom
- Crystal system: tetragonal
- DOS(E_F): 3.35 states/eV/f.u.
- ΔE_f (raw): 1185 meV per atom
- Total magnetic moment: 0.0 μB/f.u.

***

Computed, not measured: PSeNCl2 after structural relaxation at the PBE level of DFT.

Lattice parameters (Å, degrees): 4.750 4.750 5.315 90.00 90.00 90.00
Fractional coordinates of all 5 atoms:
P  0.000  0.000  0.000
Se  0.000  0.000  0.500
N  0.500  0.500  0.000
Cl  0.000  0.500  0.500
Cl  0.500  0.000  0.500

Results
- Energy above the lowest structure with this stoichiometry: 0.475 eV/atom
- Crystal system: tetragonal
- DOS(E_F): 3.47 states/eV/f.u.
- ΔE_f (raw): 1660 meV per atom
- Total magnetic moment: 1.4 μB/f.u.

***

Computed, not measured: SiP2NCl after structural relaxation at the PBE level of DFT.

Lattice parameters (Å, degrees): 4.562 4.562 4.342 90.00 90.00 90.00
Fractional coordinates of all 5 atoms:
Si  0.000  0.000  0.000
P  0.000  0.500  0.000
P  0.500  0.000  0.000
N  0.500  0.500  0.500
Cl  0.000  0.000  0.500

Results
- Energy above the lowest structure with this stoichiometry: 0.526 eV/atom
- Crystal system: tetragonal
- DOS(E_F): 3.31 states/eV/f.u.
- ΔE_f (raw): 1679 meV per atom
- Total magnetic moment: 0.0 μB/f.u.

***

Computed, not measured: SiPNCl2 after structural relaxation at the PBE level of DFT.

Lattice parameters (Å, degrees): 4.218 4.218 4.542 90.00 90.00 90.00
Fractional coordinates of all 5 atoms:
Si  0.000  0.000  0.000
P  0.500  0.500  0.000
N  0.500  0.500  0.500
Cl  0.000  0.500  0.500
Cl  0.500  0.000  0.500

Results
- Energy above the lowest structure with this stoichiometry: 0.070 eV/atom
- Crystal system: tetragonal
- DOS(E_F): 2.04 states/eV/f.u.
- ΔE_f (raw): 1168 meV per atom
- Total magnetic moment: 0.0 μB/f.u.

***

Computed, not measured: SiPNCl2 after structural relaxation at the PBE level of DFT.

Lattice parameters (Å, degrees): 4.727 4.727 4.900 90.00 90.00 90.00
Fractional coordinates of all 5 atoms:
Si  0.000  0.000  0.000
P  0.000  0.000  0.500
N  0.500  0.500  0.500
Cl  0.000  0.500  0.000
Cl  0.500  0.000  0.000

Results
- Energy above the lowest structure with this stoichiometry: 0.000 eV/atom
- Crystal system: tetragonal
- DOS(E_F): 0.93 states/eV/f.u.
- ΔE_f (raw): 1098 meV per atom
- Total magnetic moment: 0.8 μB/f.u.

***

Computed, not measured: SiP2NCl after structural relaxation at the PBE level of DFT.

Lattice parameters (Å, degrees): 4.064 4.064 4.498 90.00 90.00 90.00
Fractional coordinates of all 5 atoms:
Si  0.000  0.000  0.000
P  0.000  0.500  0.500
P  0.500  0.000  0.500
N  0.500  0.500  0.500
Cl  0.500  0.500  0.000

Results
- Energy above the lowest structure with this stoichiometry: 0.000 eV/atom
- Crystal system: tetragonal
- DOS(E_F): 2.43 states/eV/f.u.
- ΔE_f (raw): 1153 meV per atom
- Total magnetic moment: 0.0 μB/f.u.

***

Computed, not measured: SnPNCl2 after structural relaxation at the PBE level of DFT.

Lattice parameters (Å, degrees): 5.851 5.851 3.292 90.00 90.00 90.00
Fractional coordinates of all 5 atoms:
Sn  0.000  0.000  0.000
P  0.500  0.500  0.000
N  0.500  0.500  0.500
Cl  0.000  0.500  0.500
Cl  0.500  0.000  0.500

Results
- Energy above the lowest structure with this stoichiometry: 0.000 eV/atom
- Crystal system: tetragonal
- DOS(E_F): 1.68 states/eV/f.u.
- ΔE_f (raw): 372 meV per atom
- Total magnetic moment: 0.0 μB/f.u.

***

Computed, not measured: SnP2NCl after structural relaxation at the PBE level of DFT.

Lattice parameters (Å, degrees): 5.208 5.208 5.414 90.00 90.00 90.00
Fractional coordinates of all 5 atoms:
Sn  0.000  0.000  0.000
P  0.000  0.500  0.000
P  0.500  0.000  0.000
N  0.500  0.500  0.500
Cl  0.000  0.000  0.500

Results
- Energy above the lowest structure with this stoichiometry: 0.818 eV/atom
- Crystal system: tetragonal
- DOS(E_F): 3.35 states/eV/f.u.
- ΔE_f (raw): 1680 meV per atom
- Total magnetic moment: 5.1 μB/f.u.

***

Computed, not measured: SnP2NCl after structural relaxation at the PBE level of DFT.

Lattice parameters (Å, degrees): 4.191 4.191 4.764 90.00 90.00 90.00
Fractional coordinates of all 5 atoms:
Sn  0.000  0.000  0.000
P  0.000  0.500  0.500
P  0.500  0.000  0.500
N  0.500  0.500  0.500
Cl  0.500  0.500  0.000

Results
- Energy above the lowest structure with this stoichiometry: 0.000 eV/atom
- Crystal system: tetragonal
- DOS(E_F): 3.62 states/eV/f.u.
- ΔE_f (raw): 861 meV per atom
- Total magnetic moment: 0.0 μB/f.u.

***

Computed, not measured: SnPNCl2 after structural relaxation at the PBE level of DFT.

Lattice parameters (Å, degrees): 5.304 5.304 5.424 90.00 90.00 90.00
Fractional coordinates of all 5 atoms:
Sn  0.000  0.000  0.000
P  0.000  0.000  0.500
N  0.500  0.500  0.500
Cl  0.000  0.500  0.000
Cl  0.500  0.000  0.000

Results
- Energy above the lowest structure with this stoichiometry: 0.617 eV/atom
- Crystal system: tetragonal
- DOS(E_F): 0.77 states/eV/f.u.
- ΔE_f (raw): 989 meV per atom
- Total magnetic moment: 0.9 μB/f.u.

***

Computed, not measured: SrPNCl2 after structural relaxation at the PBE level of DFT.

Lattice parameters (Å, degrees): 5.708 5.708 3.418 90.00 90.00 90.00
Fractional coordinates of all 5 atoms:
Sr  0.000  0.000  0.000
P  0.500  0.500  0.000
N  0.500  0.500  0.500
Cl  0.000  0.500  0.500
Cl  0.500  0.000  0.500

Results
- Energy above the lowest structure with this stoichiometry: 0.000 eV/atom
- Crystal system: tetragonal
- DOS(E_F): 2.59 states/eV/f.u.
- ΔE_f (raw): -358 meV per atom
- Total magnetic moment: 0.0 μB/f.u.

***

Computed, not measured: Sr8P3NCl3 after structural relaxation at the PBE level of DFT.

Lattice parameters (Å, degrees): 8.739 8.739 8.739 59.44 59.44 59.44
Fractional coordinates of all 15 atoms:
Sr  0.239  0.239  0.239
Sr  0.260  0.723  0.723
Sr  0.277  0.277  0.740
Sr  0.277  0.740  0.277
Sr  0.723  0.260  0.723
Sr  0.723  0.723  0.260
Sr  0.740  0.277  0.277
Sr  0.761  0.761  0.761
P  0.000  0.000  0.500
P  0.000  0.500  0.000
P  0.500  0.000  0.000
N  0.500  0.500  0.500
Cl  0.000  0.500  0.500
Cl  0.500  0.000  0.500
Cl  0.500  0.500  0.000

Results
- Crystal system: trigonal
- DOS(E_F): 1.62 states/eV/f.u.
- ΔE_f (raw): -1404 meV per atom
- Total magnetic moment: 1.0 μB/f.u.

***

Computed, not measured: SrPNCl2 after structural relaxation at the PBE level of DFT.

Lattice parameters (Å, degrees): 5.571 5.571 7.039 90.00 90.00 90.00
Fractional coordinates of all 5 atoms:
Sr  0.000  0.000  0.000
P  0.000  0.000  0.500
N  0.500  0.500  0.500
Cl  0.000  0.500  0.000
Cl  0.500  0.000  0.000

Results
- Energy above the lowest structure with this stoichiometry: 0.893 eV/atom
- Crystal system: tetragonal
- DOS(E_F): 1.21 states/eV/f.u.
- ΔE_f (raw): 536 meV per atom
- Total magnetic moment: 2.0 μB/f.u.

***

Computed, not measured: Sr6P2NCl2 after structural relaxation at the PBE level of DFT.

Lattice parameters (Å, degrees): 7.414 7.414 7.527 99.63 99.63 119.74
Fractional coordinates of all 11 atoms:
Sr  0.070  0.376  0.210
Sr  0.232  0.232  0.797
Sr  0.376  0.070  0.210
Sr  0.624  0.930  0.790
Sr  0.768  0.768  0.203
Sr  0.930  0.624  0.790
P  0.333  0.667  0.000
P  0.667  0.333  0.000
N  0.000  0.000  0.000
Cl  0.163  0.837  0.500
Cl  0.837  0.163  0.500

Results
- Crystal system: monoclinic
- DOS(E_F): 1.54 states/eV/f.u.
- ΔE_f (raw): -1324 meV per atom
- Total magnetic moment: 1.0 μB/f.u.

***

Computed, not measured: Sr5P2NCl after structural relaxation at the PBE level of DFT.

Lattice parameters (Å, degrees): 8.637 8.637 8.637 146.65 128.42 62.83
Fractional coordinates of all 9 atoms:
Sr  0.000  0.000  0.000
Sr  0.084  0.358  0.726
Sr  0.368  0.642  0.726
Sr  0.632  0.358  0.274
Sr  0.916  0.642  0.274
P  0.206  0.206  0.000
P  0.794  0.794  0.000
N  0.000  0.500  0.500
Cl  0.500  0.000  0.500

Results
- Crystal system: orthorhombic
- DOS(E_F): 0.86 states/eV/f.u.
- ΔE_f (raw): -1094 meV per atom
- Total magnetic moment: 0.0 μB/f.u.

***

Computed, not measured: TaPNCl7 after structural relaxation at the PBE level of DFT.

Lattice parameters (Å, degrees): 7.018 11.796 15.871 90.00 105.82 90.00
Fractional coordinates of all 40 atoms:
Ta  0.027  0.074  0.120
Ta  0.027  0.426  0.620
Ta  0.973  0.574  0.380
Ta  0.973  0.926  0.880
P  0.373  0.067  0.316
P  0.373  0.433  0.816
P  0.627  0.567  0.184
P  0.627  0.933  0.684
N  0.230  0.092  0.224
N  0.230  0.408  0.724
N  0.770  0.592  0.276
N  0.770  0.908  0.776
Cl  0.083  0.102  0.844
Cl  0.083  0.398  0.344
Cl  0.093  0.239  0.049
Cl  0.093  0.261  0.549
Cl  0.233  0.012  0.402
Cl  0.233  0.488  0.902
Cl  0.234  0.530  0.541
Cl  0.234  0.970  0.041
Cl  0.238  0.664  0.347
Cl  0.238  0.836  0.847
Cl  0.425  0.051  0.686
Cl  0.425  0.449  0.186
Cl  0.472  0.702  0.129
Cl  0.472  0.798  0.629
Cl  0.528  0.202  0.371
Cl  0.528  0.298  0.871
Cl  0.575  0.551  0.814
Cl  0.575  0.949  0.314
Cl  0.762  0.164  0.153
Cl  0.762  0.336  0.653
Cl  0.766  0.030  0.959
Cl  0.766  0.470  0.459
Cl  0.767  0.512  0.098
Cl  0.767  0.988  0.598
Cl  0.907  0.739  0.451
Cl  0.907  0.761  0.951
Cl  0.917  0.602  0.656
Cl  0.917  0.898  0.156

Results
- Crystal system: monoclinic
- DOS(E_F): 0.00 states/eV/f.u.
- ΔE_f (raw): -1008 meV per atom
- Total magnetic moment: 0.0 μB/f.u.

***

Computed, not measured: TaP2NCl after structural relaxation at the PBE level of DFT.

Lattice parameters (Å, degrees): 3.986 3.986 4.280 90.00 90.00 90.00
Fractional coordinates of all 5 atoms:
Ta  0.000  0.000  0.000
P  0.000  0.500  0.500
P  0.500  0.000  0.500
N  0.500  0.500  0.500
Cl  0.500  0.500  0.000

Results
- Energy above the lowest structure with this stoichiometry: 0.000 eV/atom
- Crystal system: tetragonal
- DOS(E_F): 1.41 states/eV/f.u.
- ΔE_f (raw): 885 meV per atom
- Total magnetic moment: 0.0 μB/f.u.

***

Computed, not measured: TaP2NCl12 after structural relaxation at the PBE level of DFT.

Lattice parameters (Å, degrees): 8.452 8.452 16.018 101.69 101.69 65.82
Fractional coordinates of all 32 atoms:
Ta  0.000  0.000  0.000
Ta  0.000  0.000  0.500
P  0.341  0.442  0.724
P  0.442  0.341  0.224
P  0.558  0.659  0.776
P  0.659  0.558  0.276
N  0.403  0.597  0.750
N  0.597  0.403  0.250
Cl  0.041  0.116  0.147
Cl  0.107  0.192  0.961
Cl  0.116  0.041  0.647
Cl  0.119  0.512  0.645
Cl  0.192  0.107  0.461
Cl  0.216  0.712  0.484
Cl  0.227  0.509  0.165
Cl  0.288  0.784  0.016
Cl  0.294  0.373  0.825
Cl  0.373  0.294  0.325
Cl  0.488  0.881  0.855
Cl  0.491  0.773  0.335
Cl  0.509  0.227  0.665
Cl  0.512  0.119  0.145
Cl  0.627  0.706  0.675
Cl  0.706  0.627  0.175
Cl  0.712  0.216  0.984
Cl  0.773  0.491  0.835
Cl  0.784  0.288  0.516
Cl  0.808  0.893  0.539
Cl  0.881  0.488  0.355
Cl  0.884  0.959  0.353
Cl  0.893  0.808  0.039
Cl  0.959  0.884  0.853

Results
- Crystal system: monoclinic
- DOS(E_F): 0.00 states/eV/f.u.
- ΔE_f (raw): -921 meV per atom
- Total magnetic moment: 0.0 μB/f.u.